LiZnMo2 | GGA-PBE | relaxed Values from VASP.

Cell and atoms, written as Quantum ESPRESSO input:
```
&SYSTEM
  ibrav = 0, nat = 4, ntyp = 3
/
ATOMIC_SPECIES
Li 6.94 Li.upf
Zn 65.41 Zn.upf
Mo 95.94 Mo.upf
CELL_PARAMETERS angstrom
2.607 0.000 0.000
0.000 2.607 0.000
0.000 0.000 8.932
ATOMIC_POSITIONS crystal
Li 0.000 0.000 0.000
Zn 0.000 0.000 0.500
Mo 0.500 0.500 0.260
Mo 0.500 0.500 0.740
```

total moment	0.0	μB per formula unit
space-group type	P4/mmm (123)
ΔE_f	7.3	kcal/mol of atoms

---

LiZnMo2 | GGA-PBE | relaxed Values from VASP.

Cell and atoms, written as Quantum ESPRESSO input:
```
&SYSTEM
  ibrav = 0, nat = 4, ntyp = 3
/
ATOMIC_SPECIES
Li 6.94 Li.upf
Zn 65.41 Zn.upf
Mo 95.94 Mo.upf
CELL_PARAMETERS angstrom
1.584 -2.134 0.000
1.584 2.134 0.000
0.000 0.000 9.111
ATOMIC_POSITIONS crystal
Li 0.000 0.000 0.000
Zn 0.500 0.500 0.242
Mo 0.000 0.000 0.491
Mo 0.500 0.500 0.740
```

total moment	0.0	μB per formula unit
space-group type	Cmm2 (35)
ΔE_f	2.7	kcal/mol of atoms

---

LiZnMo2 | GGA-PBE | relaxed Values from VASP.

Cell and atoms, written as Quantum ESPRESSO input:
```
&SYSTEM
  ibrav = 0, nat = 4, ntyp = 3
/
ATOMIC_SPECIES
Li 6.94 Li.upf
Zn 65.41 Zn.upf
Mo 95.94 Mo.upf
CELL_PARAMETERS angstrom
3.665 0.000 0.000
0.000 3.665 0.000
0.000 0.000 4.379
ATOMIC_POSITIONS crystal
Li 0.000 0.000 0.000
Zn 0.500 0.500 0.000
Mo 0.000 0.500 0.500
Mo 0.500 0.000 0.500
```

total moment	0.0	μB per formula unit
space-group type	P4/mmm (123)
ΔE_f	4.8	kcal/mol of atoms

---

LiZn2Mo4 | GGA-PBE | relaxed Values from VASP.

Cell and atoms, written as Quantum ESPRESSO input:
```
&SYSTEM
  ibrav = 0, nat = 7, ntyp = 3
/
ATOMIC_SPECIES
Li 6.94 Li.upf
Zn 65.41 Zn.upf
Mo 95.94 Mo.upf
CELL_PARAMETERS angstrom
-2.006 2.006 6.838
2.006 -2.006 6.838
2.006 2.006 -6.838
ATOMIC_POSITIONS crystal
Li 0.000 0.000 0.000
Zn 0.360 0.360 0.000
Zn 0.640 0.640 0.000
Mo 0.000 0.500 0.500
Mo 0.169 0.169 0.000
Mo 0.500 0.000 0.500
Mo 0.831 0.831 0.000
```

total moment	0.0	μB per formula unit
space-group type	I4/mmm (139)
ΔE_f	27.7	kcal/mol of atoms

---

Li3ZnMo | GGA-PBE | relaxed Values from VASP.

Cell and atoms, written as Quantum ESPRESSO input:
```
&SYSTEM
  ibrav = 0, nat = 5, ntyp = 3
/
ATOMIC_SPECIES
Li 6.94 Li.upf
Zn 65.41 Zn.upf
Mo 95.94 Mo.upf
CELL_PARAMETERS angstrom
5.044 0.000 0.000
0.000 5.044 0.000
0.000 0.000 5.044
ATOMIC_POSITIONS crystal
Li 0.000 0.000 0.500
Li 0.000 0.500 0.000
Li 0.500 0.000 0.000
Zn 0.500 0.500 0.500
Mo 0.000 0.000 0.000
```

total moment	3.8	μB per formula unit
space-group type	Pm-3m (221)
ΔE_f	29.0	kcal/mol of atoms

---

LiZnMo2 | GGA-PBE | relaxed Values from VASP.

Cell and atoms, written as Quantum ESPRESSO input:
```
&SYSTEM
  ibrav = 0, nat = 4, ntyp = 3
/
ATOMIC_SPECIES
Li 6.94 Li.upf
Zn 65.41 Zn.upf
Mo 95.94 Mo.upf
CELL_PARAMETERS angstrom
4.559 -1.278 0.000
4.559 1.278 0.000
-0.305 0.000 5.176
ATOMIC_POSITIONS crystal
Li 0.000 0.000 0.000
Zn 0.251 0.251 0.783
Mo 0.512 0.512 0.497
Mo 0.754 0.754 0.277
```

total moment	0.0	μB per formula unit
space-group type	Cm (8)
ΔE_f	5.4	kcal/mol of atoms

---

LiZnMo | GGA-PBE | relaxed Values from VASP.

Cell and atoms, written as Quantum ESPRESSO input:
```
&SYSTEM
  ibrav = 0, nat = 3, ntyp = 3
/
ATOMIC_SPECIES
Li 6.94 Li.upf
Zn 65.41 Zn.upf
Mo 95.94 Mo.upf
CELL_PARAMETERS angstrom
-1.299 1.299 6.597
1.299 -1.299 6.597
1.299 1.299 -6.597
ATOMIC_POSITIONS crystal
Li 0.000 0.000 0.000
Zn 0.660 0.660 0.000
Mo 0.324 0.324 0.000
```

total moment	0.0	μB per formula unit
space-group type	I4mm (107)
ΔE_f	3.0	kcal/mol of atoms

---

LiZnMo2 | GGA-PBE | relaxed Values from VASP.

Cell and atoms, written as Quantum ESPRESSO input:
```
&SYSTEM
  ibrav = 0, nat = 4, ntyp = 3
/
ATOMIC_SPECIES
Li 6.94 Li.upf
Zn 65.41 Zn.upf
Mo 95.94 Mo.upf
CELL_PARAMETERS angstrom
2.576 -4.499 0.000
2.576 4.499 0.000
-0.515 0.000 2.565
ATOMIC_POSITIONS crystal
Li 0.000 0.000 0.000
Zn 0.500 0.500 0.000
Mo 0.000 0.500 0.500
Mo 0.500 0.000 0.500
```

total moment	0.0	μB per formula unit
space-group type	C2/m (12)
ΔE_f	5.4	kcal/mol of atoms